This record from the Alexandria database describes NaAsP after structural relaxation. The functional is PBE-GGA.

Lattice parameters (Å, degrees): 3.480 6.170 7.113 80.23 75.84 73.63
Element x y z (fractional)
Na 0.311 0.667 0.712
Na 0.689 0.333 0.288
As 0.049 0.188 0.714
As 0.951 0.812 0.286
P 0.565 0.816 0.054
P 0.435 0.184 0.946

---

This record from the Alexandria database describes Na3AsP after structural relaxation. The functional is PBE-GGA.

Lattice parameters (Å, degrees): 5.410 5.410 5.410 90.00 90.00 90.00
Element x y z (fractional)
P 0.000 0.000 0.000
As 0.500 0.500 0.500
Na 0.000 0.000 0.500
Na 0.000 0.500 0.000
Na 0.500 0.000 0.000

---

This record from the Alexandria database describes NaAsP3 after structural relaxation. The functional is PBE-GGA.

Lattice parameters (Å, degrees): 4.794 4.794 4.794 90.00 90.00 90.00
Element x y z (fractional)
P 0.000 0.500 0.000
P 0.000 0.000 0.500
P 0.500 0.000 0.000
Na 0.000 0.000 0.000
As 0.500 0.500 0.500

---

This record from the Alexandria database describes Na2AsP after structural relaxation. The functional is PBE-GGA.

Lattice parameters (Å, degrees): 3.814 5.723 9.351 114.32 90.00 90.00
Element x y z (fractional)
Na 0.750 0.230 0.427
Na 0.750 0.220 0.935
Na 0.250 0.780 0.065
Na 0.250 0.770 0.573
P 0.750 0.640 0.786
P 0.250 0.360 0.214
As 0.250 0.357 0.715
As 0.750 0.643 0.285

---

This record from the Alexandria database describes Na2AsP after structural relaxation. The functional is PBE-GGA.

Lattice parameters (Å, degrees): 3.521 5.747 5.689 120.34 108.04 90.00
Element x y z (fractional)
Na 0.543 0.450 0.085
Na 0.957 0.865 0.915
As 0.250 0.951 0.500
P 0.750 0.234 0.500

---

This record from the Alexandria database describes Na2AsP after structural relaxation. The functional is PBE-GGA.

Lattice parameters (Å, degrees): 4.865 4.865 4.865 60.00 60.00 60.00
Element x y z (fractional)
P 0.000 0.000 0.000
Na 0.750 0.750 0.750
Na 0.250 0.250 0.250
As 0.500 0.500 0.500

---

This record from the Alexandria database describes Na2AsP2 after structural relaxation. The functional is PBE-GGA.

Lattice parameters (Å, degrees): 4.969 4.969 4.515 90.00 90.00 90.00
Element x y z (fractional)
As 0.500 0.500 0.500
Na 0.000 0.000 0.000
Na 0.000 0.000 0.500
P 0.500 0.000 0.000
P 0.000 0.500 0.000

---

This record from the Alexandria database describes NaAsP3 after structural relaxation. The functional is PBE-GGA.

Lattice parameters (Å, degrees): 4.836 4.836 4.836 90.00 90.00 90.00
Element x y z (fractional)
P 0.500 0.000 0.000
P 0.000 0.500 0.000
P 0.000 0.000 0.500
Na 0.500 0.500 0.500
As 0.000 0.000 0.000

---

This record from the Alexandria database describes Na3AsP after structural relaxation. The functional is PBE-GGA.

Lattice parameters (Å, degrees): 5.759 7.765 10.840 97.53 90.00 90.00
Element x y z (fractional)
Na 0.093 0.613 0.380
Na 0.060 0.305 0.897
Na 0.419 0.960 0.154
Na 0.407 0.613 0.880
Na 0.593 0.387 0.120
Na 0.581 0.040 0.846
Na 0.940 0.695 0.103
Na 0.440 0.305 0.397
Na 0.907 0.387 0.620
Na 0.919 0.040 0.346
Na 0.560 0.695 0.603
Na 0.081 0.960 0.654
P 0.381 0.926 0.428
P 0.881 0.074 0.072
P 0.119 0.926 0.928
P 0.619 0.074 0.572
As 0.391 0.314 0.670
As 0.891 0.686 0.830
As 0.609 0.686 0.330
As 0.109 0.314 0.170

---

This record from the Alexandria database describes Na3As2P2 after structural relaxation. The functional is PBE-GGA.

Lattice parameters (Å, degrees): 3.506 5.823 8.861 79.84 78.67 72.53
Element x y z (fractional)
As 0.173 0.077 0.577
As 0.827 0.923 0.423
Na 0.607 0.466 0.321
Na 0.000 0.000 0.000
Na 0.393 0.534 0.679
P 0.268 0.403 0.062
P 0.732 0.597 0.938

---

This record from the Alexandria database describes Na2As2P after structural relaxation. The functional is PBE-GGA.

Lattice parameters (Å, degrees): 6.882 6.882 4.601 90.00 90.00 90.00
Element x y z (fractional)
As 0.128 0.372 0.000
As 0.372 0.872 0.000
As 0.628 0.128 0.000
As 0.872 0.628 0.000
Na 0.678 0.822 0.500
Na 0.822 0.322 0.500
Na 0.178 0.678 0.500
Na 0.322 0.178 0.500
P 0.000 0.000 0.000
P 0.500 0.500 0.000

---

This record from the Alexandria database describes NaAsP after structural relaxation. The functional is PBE-GGA.

Lattice parameters (Å, degrees): 3.851 3.851 5.540 90.00 90.00 120.00
Element x y z (fractional)
P 0.333 0.667 0.602
Na 0.000 0.000 0.984
As 0.667 0.333 0.414

---

| no. | raw total energy (eV per cell) | E_form (eV per atom) |
| --- | --- | --- |
| 1 | -24.42 | -0.28 |
| 2 | -13.05 | 0.19 |
| 3 | -14.10 | 1.62 |
| 4 | -27.86 | -0.31 |
| 5 | -13.78 | -0.27 |
| 6 | -12.51 | 0.05 |
| 7 | -13.65 | 0.89 |
| 8 | -18.68 | 0.70 |
| 9 | -62.51 | -0.32 |
| 10 | -25.79 | -0.25 |
| 11 | -36.03 | -0.13 |
| 12 | -11.64 | -0.09 |